# YTaNi

A relaxed YTaNi crystal (GGA-PBEsol, Alexandria).

Cell and atoms, written as POSCAR:
```
YTaNi
1.0
-1.572 1.572 5.624
1.572 -1.572 5.624
1.572 1.572 -5.624
Y Ta Ni
1 1 1
Cartesian
0.000 0.000 0.000 Y
0.000 0.000 3.369 Ta
0.000 0.000 7.794 Ni
```

The calculation puts the formation energy at -0.099 eV/f.u. The calculation puts the total magnetic moment at 0.0 μB/f.u. Its space group is I4mm (107).

=====

# Y2TaNi

A relaxed Y2TaNi crystal (GGA-PBEsol, Alexandria).

Cell and atoms, written as POSCAR:
```
Y2TaNi
1.0
0.000 3.393 3.393
3.393 0.000 3.393
3.393 3.393 0.000
Y Ta Ni
2 1 1
Cartesian
0.000 0.000 0.000 Y
1.696 1.696 1.696 Y
5.089 5.089 5.089 Ta
3.393 3.393 3.393 Ni
```

The calculation puts the formation energy at 1.865 eV/f.u. The calculation puts the total magnetic moment at 0.0 μB/f.u. Its space group is F-43m (216).

=====

# Y3TaNi

A relaxed Y3TaNi crystal (GGA-PBEsol, Alexandria).

Cell and atoms, written as POSCAR:
```
Y3TaNi
1.0
5.037 0.000 0.000
0.000 5.037 0.000
0.000 0.000 5.037
Y Ta Ni
3 1 1
Cartesian
0.000 0.000 2.519 Y
0.000 2.519 0.000 Y
2.519 0.000 0.000 Y
2.519 2.519 2.519 Ta
0.000 0.000 0.000 Ni
```

The calculation puts the formation energy at 2.664 eV/f.u. The calculation puts the total magnetic moment at 0.0 μB/f.u. Its space group is Pm-3m (221).

=====

Which formula does entry 1 have? YTaNi